Density functional theory data (SCAN) for a PBEsol-optimized structure of SrCaAu.

a = 3.729 Å, b = 3.729 Å, c = 7.193 Å
α = 105.02°, β = 105.02°, γ = 90.00°
Atoms (fractional coordinates):
1 Sr 0.634 0.634 0.268
2 Au 0.993 0.993 0.985
3 Ca 0.373 0.373 0.747

Computed properties:
The value obtained for the final energy is -34.359 eV per atom. Its magnetization is 0.02 μB per cell. Its formation energy is -0.6606 eV/atom.